(1)
Material: GdTiAu2
Method: DFT, PBE
State: relaxed

Unit cell a=4.842 b=4.842 c=3.558 alpha=90.00 beta=90.00 gamma=90.00
Space group P4/mmm (No. 123)
Inequivalent atoms, fractional coordinates:
1 Gd 0.000 0.000 0.000 [1 per cell]
2 Ti 0.500 0.500 0.000 [1 per cell]
3 Au 0.000 0.500 0.500 [2 per cell]

Values from the calculation:
Relative energy among the computed polymorphs: 50 meV per atom
E_form: -1.910 eV per formula unit
DFT total energy: -7.6101 eV per atom
Magnetic moment: 8.71 Bohr magnetons per cell

(2)
Material: KPrHg17
Method: DFT, PBE
State: relaxed

Unit cell a=9.9118 b=9.9118 c=18.5574 alpha=90.00 beta=90.00 gamma=120.00
Space group R3m (No. 160, hexagonal axes)
Inequivalent atoms, fractional coordinates:
1 K 0.0000 0.0000 0.0000 [3 per cell]
2 Pr 0.0000 0.0000 0.6956 [3 per cell]
3 Hg 0.0000 0.0000 0.2982 [3 per cell]
4 Hg 0.0000 0.0000 0.4631 [3 per cell]
5 Hg 0.0013 0.3095 0.3660 [18 per cell]
6 Hg 0.0575 0.5287 0.2329 [9 per cell]
7 Hg 0.0856 0.5428 0.8456 [9 per cell]
8 Hg 0.0938 0.5469 0.5017 [9 per cell]

Values from the calculation:
E_form: -2.120 eV per formula unit
DFT total energy: -0.6909 eV per atom
Magnetic moment: 0.00 Bohr magnetons per cell

(3)
Material: Ac6NiPt4
Method: DFT, PBE
State: relaxed

Unit cell a=4.321 b=14.473 c=22.373 alpha=90.00 beta=90.00 gamma=90.00
Space group Cmcm (No. 63)
Inequivalent atoms, fractional coordinates:
1 Ac 0.000 0.000 0.000 [4 per cell]
2 Ac 0.000 0.196 0.250 [4 per cell]
3 Ac 0.000 0.275 0.584 [8 per cell]
4 Ac 0.000 0.452 0.164 [8 per cell]
5 Ni 0.000 0.156 0.750 [4 per cell]
6 Pt 0.000 0.092 0.130 [8 per cell]
7 Pt 0.000 0.362 0.043 [8 per cell]

Values from the calculation:
E_form: -9.853 eV per formula unit
DFT total energy: -5.8589 eV per atom
Magnetic moment: 0.00 Bohr magnetons per cell

(4)
Material: Sm5In2Ga
Method: DFT, PBE
State: relaxed

Unit cell a=8.071 b=8.071 c=14.600 alpha=90.00 beta=90.00 gamma=90.00
Space group I4/mcm (No. 140)
Inequivalent atoms, fractional coordinates:
1 Sm 0.000 0.000 0.000 [4 per cell]
2 Sm 0.170 0.330 0.155 [16 per cell]
3 In 0.126 0.374 0.500 [8 per cell]
4 Ga 0.000 0.000 0.250 [4 per cell]

Values from the calculation:
Relative energy among the computed polymorphs: 70 meV per atom
E_form: -2.750 eV per formula unit
DFT total energy: -4.3562 eV per atom
Magnetic moment: 0.00 Bohr magnetons per cell

The ρ results, record by record, are as follows: 11.9; 11.3; 10.4; 7.3 g/cm³.